Entry from OQMD: an optimized crystal structure of CsTbFeSe3 (PBE).

Values from the calculation:
- Offset from the most stable computed form: 0.14 kcal/mol of atoms
- Space-group type: No. 63
- DFT total energy: -31.593 eV per formula unit

a b c (Å): 8.376 8.376 10.880
angles (deg): 90.00 90.00 151.22
Atoms (fractional coordinates):
Cs (0.242, 0.758, 0.750)
Cs (0.758, 0.242, 0.250)
Tb (0.500, 0.500, 0.000)
Tb (0.500, 0.500, 0.500)
Fe (0.032, 0.968, 0.250)
Fe (0.968, 0.032, 0.750)
Se (0.116, 0.884, 0.065)
Se (0.116, 0.884, 0.435)
Se (0.444, 0.556, 0.250)
Se (0.556, 0.444, 0.750)
Se (0.884, 0.116, 0.565)
Se (0.884, 0.116, 0.935)